(1)
This record from the Alexandria database describes an optimized crystal structure of HoTmCuPb. The functional is GGA-PBE.

Values from the calculation:
Its formation energy is -0.277 eV/atom.

Unit cell a=7.2919 b=7.2919 c=7.2919 alpha=90.00 beta=90.00 gamma=90.00
Space group F-43m (No. 216)
One atom of each set of equivalent atoms:
Ho: 0.0000 0.0000 0.0000 [4 per cell]
Tm: 0.0000 0.0000 0.5000 [4 per cell]
Cu: 0.2500 0.2500 0.7500 [4 per cell]
Pb: 0.2500 0.2500 0.2500 [4 per cell]


(2)
This record from the Alexandria database describes an optimized crystal structure of KV3N. The functional is GGA-PBE.

Values from the calculation:
The formation energy from raw total energies is 702 meV per atom. Its excess energy over the best structure of this formula in the dataset is 0.0 meV/atom.

Unit cell a=4.1698 b=4.1698 c=4.1698 alpha=90.00 beta=90.00 gamma=90.00
Space group Pm-3m (No. 221)
One atom of each set of equivalent atoms:
K: 0.0000 0.0000 0.0000 [1 per cell]
V: 0.0000 0.5000 0.5000 [3 per cell]
N: 0.5000 0.5000 0.5000 [1 per cell]


(3)
This record from the Alexandria database describes an optimized crystal structure of La2TlCu. The functional is GGA-PBE.

Values from the calculation:
Its formation energy is -0.103 eV/atom.

Unit cell a=3.9752 b=3.9752 c=27.0981 alpha=90.00 beta=90.00 gamma=120.00
Space group R-3m (No. 166, hexagonal axes)
One atom of each set of equivalent atoms:
La: 0.0000 0.0000 0.2387 [6 per cell]
Tl: 0.0000 0.0000 0.0000 [3 per cell]
Cu: 0.0000 0.0000 0.5000 [3 per cell]


(4)
This record from the Alexandria database describes an optimized crystal structure of Pu2AlPt5. The functional is GGA-PBE.

Values from the calculation:
Its formation energy is -0.721 eV/atom.

Unit cell a=5.7728 b=6.6445 c=8.1418 alpha=90.00 beta=90.00 gamma=90.00
Space group Imm2 (No. 44)
One atom of each set of equivalent atoms:
Pu: 0.0000 0.0000 0.0000 [2 per cell]
Pu: 0.0000 0.0000 0.4631 [2 per cell]
Al: 0.0000 0.5000 0.7777 [2 per cell]
Pt: 0.0000 0.5000 0.4673 [2 per cell]
Pt: 0.2414 0.2870 0.2240 [8 per cell]


(5)
This record from the Alexandria database describes an optimized crystal structure of ErPuCuS4. The functional is GGA-PBE.

Values from the calculation:
The formation energy from raw total energies is -1313 meV per atom.

Unit cell a=6.6766 b=5.4862 c=7.7768 alpha=90.00 beta=106.69 gamma=90.00
Space group P2_1/m (No. 11)
One atom of each set of equivalent atoms:
Er: 0.2274 0.2500 0.4333 [2 per cell]
Pu: 0.2436 0.2500 0.9365 [2 per cell]
Cu: 0.2464 0.7500 0.1835 [2 per cell]
S: 0.0694 0.7500 0.3943 [2 per cell]
S: 0.0705 0.7500 0.8889 [2 per cell]
S: 0.4831 0.5134 0.7373 [4 per cell]


(6)
This record from the Alexandria database describes an optimized crystal structure of VCrInRe2. The functional is GGA-PBE.

Values from the calculation:
Its formation energy is 2.700 eV/atom.

Unit cell a=4.8439 b=4.8439 c=4.6324 alpha=90.00 beta=90.00 gamma=90.00
Space group P4/mmm (No. 123)
One atom of each set of equivalent atoms:
V: 0.0000 0.0000 0.0000 [1 per cell]
Cr: 0.5000 0.5000 0.0000 [1 per cell]
In: 0.5000 0.5000 0.5000 [1 per cell]
Re: 0.0000 0.5000 0.5000 [2 per cell]


| no. | N(E_F) (states/eV/f.u.) |
| --- | --- |
| 1 | 3.7 |
| 2 | 6.5 |
| 3 | 6.0 |
| 4 | 29.0 |
| 5 | 10.6 |
| 6 | 8.3 |